Compound: MgCd7Ag3
Source: the Alexandria database
Functional: PBE
Structure: relaxed

Results
* formation energy from the elements: -1 meV/atom
* V: 21.72 Å³ per atom
* total magnetic moment: 0.0 μB per cell
* total energy: -16.6 eV/cell

a b c (Å): 7.263 6.163 6.163
angles (deg): 120.00 90.00 90.00
Fractional positions:
1 Cd 0.465 0.328 0.164
2 Cd 0.103 0.670 0.835
3 Cd 0.105 0.667 0.333
4 Cd 0.465 0.836 0.164
5 Cd 0.103 0.165 0.835
6 Cd 0.103 0.165 0.330
7 Cd 0.465 0.836 0.672
8 Mg 0.462 0.333 0.667
9 Ag 0.780 0.498 0.996
10 Ag 0.780 0.004 0.502
11 Ag 0.780 0.498 0.502